No. 1
Here is SrTa4Pb after structural relaxation from the Alexandria database. Energies are from PBE-GGA.

Summary:
The calculated total energy is -8.168 eV/atom. The calculation puts the total moment at 0.00 μB/cell. As for the calculated density: 12.390 g/cm³. The space-group type is No. 216.

Unit cell a=5.780 b=5.780 c=5.780 alpha=60.00 beta=60.00 gamma=60.00
Fractional positions:
1 Sr 0.000 0.000 0.000
2 Ta 0.371 0.887 0.371
3 Ta 0.887 0.371 0.371
4 Ta 0.371 0.371 0.887
5 Ta 0.371 0.371 0.371
6 Pb 0.750 0.750 0.750


No. 2
Here is Sr2Ta2Pb after structural relaxation from the Alexandria database. Energies are from PBE-GGA.

Summary:
The calculated total energy is -5.226 eV/atom. The calculation puts the total moment at 0.00 μB/cell. As for the calculated density: 7.881 g/cm³. The space-group type is No. 127.

Unit cell a=9.742 b=9.742 c=3.305 alpha=90.00 beta=90.00 gamma=90.00
Fractional positions:
1 Pb 0.000 0.000 0.000
2 Pb 0.500 0.500 0.000
3 Sr 0.300 0.800 0.000
4 Sr 0.800 0.700 0.000
5 Sr 0.700 0.200 0.000
6 Sr 0.200 0.300 0.000
7 Ta 0.087 0.587 0.500
8 Ta 0.587 0.913 0.500
9 Ta 0.913 0.413 0.500
10 Ta 0.413 0.087 0.500


No. 3
Here is Sr2TaPb after structural relaxation from the Alexandria database. Energies are from PBE-GGA.

Summary:
The calculated total energy is -4.184 eV/atom. The calculation puts the total moment at 1.79 μB/cell. As for the calculated density: 7.696 g/cm³. The space-group type is No. 47.

Unit cell a=5.059 b=3.395 c=7.848 alpha=64.40 beta=90.00 gamma=90.00
Each line ends with the local moment (μB).
Fractional positions:
1 Pb 0.500 0.750 0.750  -0.02
2 Sr 0.000 0.999 0.001  0.04
3 Sr 0.000 0.501 0.499  0.04
4 Ta 0.500 0.250 0.250  1.02


No. 4
Here is Sr2TaPb after structural relaxation from the Alexandria database. Energies are from PBE-GGA.

Summary:
The calculated total energy is -4.125 eV/atom. The calculation puts the total moment at 3.52 μB/cell. As for the calculated density: 7.231 g/cm³. The space-group type is No. 123.

Unit cell a=4.067 b=4.067 c=7.820 alpha=90.00 beta=90.00 gamma=90.00
Each line ends with the local moment (μB).
Fractional positions:
1 Pb 0.500 0.500 0.750  0.00
2 Sr 0.000 0.000 0.008  0.11
3 Sr 0.000 0.000 0.492  0.11
4 Ta 0.500 0.500 0.250  1.76


No. 5
Here is Sr2TaPb after structural relaxation from the Alexandria database. Energies are from PBE-GGA.

Summary:
The calculated total energy is -4.312 eV/atom. The calculation puts the total moment at 0.85 μB/cell. As for the calculated density: 6.799 g/cm³. The space-group type is No. 99.

Unit cell a=3.881 b=3.887 c=9.119 alpha=90.00 beta=90.00 gamma=90.00
Each line ends with the local moment (μB).
Fractional positions:
1 Pb 0.500 0.500 0.682  -0.01
2 Sr 0.000 0.000 0.933  0.02
3 Sr 0.500 0.500 0.316  0.02
4 Ta 0.000 0.000 0.569  0.43


No. 6
Here is Sr2TaPb after structural relaxation from the Alexandria database. Energies are from PBE-GGA.

Summary:
The calculated total energy is -4.281 eV/atom. The calculation puts the total moment at 0.68 μB/cell. As for the calculated density: 7.461 g/cm³. The space-group type is No. 8.

Unit cell a=6.611 b=6.611 c=6.101 alpha=73.09 beta=73.09 gamma=29.54
Each line ends with the local moment (μB).
Fractional positions:
1 Pb 0.784 0.784 0.778  -0.01
2 Sr 0.029 0.029 0.932  0.02
3 Sr 0.225 0.225 0.310  0.01
4 Ta 0.461 0.461 0.480  0.36


No. 7
Here is Sr2TaPb after structural relaxation from the Alexandria database. Energies are from PBE-GGA.

Summary:
The calculated total energy is -4.157 eV/atom. The calculation puts the total moment at 2.81 μB/cell. As for the calculated density: 7.537 g/cm³. The space-group type is No. 123.

Unit cell a=4.862 b=5.053 c=5.053 alpha=90.00 beta=90.00 gamma=90.00
Each line ends with the local moment (μB).
Fractional positions:
1 Pb 0.500 0.000 0.500  -0.07
2 Sr 0.000 0.000 0.000  0.07
3 Sr 0.000 0.500 0.500  0.07
4 Ta 0.500 0.500 0.000  1.67


No. 8
Here is SrTaPb4 after structural relaxation from the Alexandria database. Energies are from PBE-GGA.

Summary:
The calculated total energy is -4.181 eV/atom. The calculation puts the total moment at 2.43 μB/cell. As for the calculated density: 9.762 g/cm³. The space-group type is No. 216.

Unit cell a=6.415 b=6.415 c=6.415 alpha=60.00 beta=60.00 gamma=60.00
Each line ends with the local moment (μB).
Fractional positions:
1 Sr 0.750 0.750 0.750  0.03
2 Ta 0.000 0.000 0.000  1.63
3 Pb 0.877 0.374 0.374  -0.03
4 Pb 0.374 0.374 0.877  -0.03
5 Pb 0.374 0.877 0.374  -0.03
6 Pb 0.374 0.374 0.374  -0.03


No. 9
Here is Sr2TaPb after structural relaxation from the Alexandria database. Energies are from PBE-GGA.

Summary:
The calculated total energy is -4.027 eV/atom. The calculation puts the total moment at 1.75 μB/cell. As for the calculated density: 7.466 g/cm³. The space-group type is No. 12.

Unit cell a=5.753 b=5.753 c=6.777 alpha=83.51 beta=83.51 gamma=34.24
Each line ends with the local moment (μB).
Fractional positions:
1 Pb 0.750 0.750 0.750  -0.02
2 Sr 0.002 0.002 0.003  0.04
3 Sr 0.498 0.498 0.497  0.04
4 Ta 0.250 0.250 0.250  1.02


No. 10
Here is SrTa3Pb after structural relaxation from the Alexandria database. Energies are from PBE-GGA.

Summary:
The calculated total energy is -6.198 eV/atom. The calculation puts the total moment at 0.00 μB/cell. As for the calculated density: 9.483 g/cm³. The space-group type is No. 221.

Unit cell a=5.274 b=5.274 c=5.274 alpha=90.00 beta=90.00 gamma=90.00
Fractional positions:
1 Pb 0.000 0.000 0.000
2 Sr 0.500 0.500 0.500
3 Ta 0.000 0.500 0.000
4 Ta 0.000 0.000 0.500
5 Ta 0.500 0.000 0.000


No. 11
Here is Sr2TaPb after structural relaxation from the Alexandria database. Energies are from PBE-GGA.

Summary:
The calculated total energy is -4.179 eV/atom. The calculation puts the total moment at 0.00 μB/cell. As for the calculated density: 7.696 g/cm³. The space-group type is No. 166.

Unit cell a=11.645 b=11.645 c=11.645 alpha=17.28 beta=17.28 gamma=17.28
Fractional positions:
1 Pb 0.750 0.750 0.750
2 Sr 0.995 0.995 0.995
3 Sr 0.505 0.505 0.505
4 Ta 0.250 0.250 0.250


No. 12
Here is Sr2Ta2Pb after structural relaxation from the Alexandria database. Energies are from PBE-GGA.

Summary:
The calculated total energy is -5.750 eV/atom. The calculation puts the total moment at 0.00 μB/cell. As for the calculated density: 7.912 g/cm³. The space-group type is No. 139.

Unit cell a=3.750 b=3.750 c=11.422 alpha=80.55 beta=80.55 gamma=90.00
Fractional positions:
1 Pb 0.000 0.000 0.000
2 Sr 0.392 0.392 0.216
3 Sr 0.608 0.608 0.784
4 Ta 0.750 0.250 0.500
5 Ta 0.250 0.750 0.500


No. 13
Here is Sr3TbPb12 after structural relaxation from the Alexandria database. Energies are from PBE-GGA.

Summary:
The calculated total energy is -3.722 eV/atom. The calculation puts the total moment at 0.00 μB/cell. As for the calculated density: 9.692 g/cm³. The space-group type is No. 123.

Unit cell a=4.983 b=4.983 c=20.068 alpha=90.00 beta=90.00 gamma=90.00
Fractional positions:
1 Sr 0.000 0.000 0.246
2 Sr 0.000 0.000 0.500
3 Sr 0.000 0.000 0.754
4 Tb 0.000 0.000 0.000
5 Pb 0.500 0.500 0.000
6 Pb 0.500 0.500 0.248
7 Pb 0.500 0.500 0.500
8 Pb 0.500 0.500 0.752
9 Pb 0.500 0.000 0.120
10 Pb 0.500 0.000 0.374
11 Pb 0.500 0.000 0.626
12 Pb 0.500 0.000 0.880
13 Pb 0.000 0.500 0.120
14 Pb 0.000 0.500 0.374
15 Pb 0.000 0.500 0.626
16 Pb 0.000 0.500 0.880


No. 14
Here is SrTb4Pb5 after structural relaxation from the Alexandria database. Energies are from PBE-GGA.

Summary:
The calculated total energy is -4.338 eV/atom. The calculation puts the total moment at 0.00 μB/cell. As for the calculated density: 9.966 g/cm³. The space-group type is No. 123.

Unit cell a=3.580 b=3.580 c=22.874 alpha=90.00 beta=90.00 gamma=90.00
Fractional positions:
1 Sr 0.000 0.000 0.000
2 Tb 0.000 0.000 0.207
3 Tb 0.000 0.000 0.402
4 Tb 0.000 0.000 0.598
5 Tb 0.000 0.000 0.793
6 Pb 0.500 0.500 0.109
7 Pb 0.500 0.500 0.305
8 Pb 0.500 0.500 0.500
9 Pb 0.500 0.500 0.695
10 Pb 0.500 0.500 0.891


No. 15
Here is SrTbPb2 after structural relaxation from the Alexandria database. Energies are from PBE-GGA.

Summary:
The calculated total energy is -3.917 eV/atom. The calculation puts the total moment at 0.00 μB/cell. As for the calculated density: 8.826 g/cm³. The space-group type is No. 123.

Unit cell a=3.656 b=3.656 c=9.301 alpha=90.00 beta=90.00 gamma=90.00
Fractional positions:
1 Pb 0.000 0.000 0.765
2 Pb 0.000 0.000 0.235
3 Sr 0.500 0.500 0.500
4 Tb 0.500 0.500 0.000


No. 16
Here is Sr2TbPb after structural relaxation from the Alexandria database. Energies are from PBE-GGA.

Summary:
The calculated total energy is -2.763 eV/atom. The calculation puts the total moment at 0.00 μB/cell. As for the calculated density: 5.473 g/cm³. The space-group type is No. 166.

Unit cell a=3.807 b=3.807 c=13.268 alpha=81.75 beta=81.75 gamma=60.00
Fractional positions:
1 Pb 0.000 0.000 0.000
2 Sr 0.087 0.087 0.740
3 Sr 0.913 0.913 0.260
4 Tb 0.500 0.500 0.500


No. 17
Here is SrTbPb2 after structural relaxation from the Alexandria database. Energies are from PBE-GGA.

Summary:
The calculated total energy is -3.848 eV/atom. The calculation puts the total moment at 0.00 μB/cell. As for the calculated density: 8.748 g/cm³. The space-group type is No. 123.

Unit cell a=4.473 b=5.296 c=5.296 alpha=90.00 beta=90.00 gamma=90.00
Fractional positions:
1 Pb 0.000 0.000 0.500
2 Pb 0.000 0.500 0.000
3 Sr 0.500 0.000 0.000
4 Tb 0.500 0.500 0.500


No. 18
Here is SrTcPb2 after structural relaxation from the Alexandria database. Energies are from PBE-GGA.

Summary:
The calculated total energy is -4.369 eV/atom. The calculation puts the total moment at 1.09 μB/cell. As for the calculated density: 6.905 g/cm³. The space-group type is No. 122.

Unit cell a=5.772 b=5.772 c=9.576 alpha=72.46 beta=72.46 gamma=90.00
Each line ends with the local moment (μB).
Fractional positions:
1 Pb 0.778 0.125 0.250  -0.02
2 Pb 0.972 0.625 0.250  -0.02
3 Pb 0.375 0.222 0.750  -0.01
4 Pb 0.875 0.028 0.750  -0.01
5 Sr 0.500 0.500 0.000  0.00
6 Sr 0.250 0.750 0.500  0.00
7 Tc 0.000 0.000 0.000  0.46
8 Tc 0.750 0.250 0.500  0.47


No. 19
Here is SrTcPb2 after structural relaxation from the Alexandria database. Energies are from PBE-GGA.

Summary:
The calculated total energy is -4.568 eV/atom. The calculation puts the total moment at 0.00 μB/cell. As for the calculated density: 9.097 g/cm³. The space-group type is No. 166.

Unit cell a=9.263 b=9.263 c=9.263 alpha=23.34 beta=23.34 gamma=23.34
Fractional positions:
1 Pb 0.015 0.015 0.015
2 Pb 0.485 0.485 0.485
3 Sr 0.250 0.250 0.250
4 Tc 0.750 0.750 0.750


No. 20
Here is SrTcPb2 after structural relaxation from the Alexandria database. Energies are from PBE-GGA.

Summary:
The calculated total energy is -4.715 eV/atom. The calculation puts the total moment at 0.00 μB/cell. As for the calculated density: 9.901 g/cm³. The space-group type is No. 123.

Unit cell a=3.543 b=3.543 c=8.016 alpha=90.00 beta=90.00 gamma=90.00
Fractional positions:
1 Pb 0.000 0.000 0.947
2 Pb 0.000 0.000 0.553
3 Sr 0.500 0.500 0.250
4 Tc 0.500 0.500 0.750